HoSnPdAu | GGA-PBE | relaxed

Unit cell a=6.887 b=6.887 c=6.887 alpha=90.00 beta=90.00 gamma=90.00
Space group F-43m (No. 216)
Asymmetric unit:
Ho 0.000 0.000 0.000
Sn 0.000 0.000 0.500
Pd 0.250 0.250 0.250
Au 0.250 0.250 0.750

Output
**V**: 326.6 Å³/cell
**Size of the total moment**: 0.0 μB/cell
**Energy relative to the elements**: -0.761 eV per atom
**Final energy**: -5.02 eV per atom